[1]
An optimized crystal structure of Pm6Ge2SeI3, computed with PBE.

The space group is C2/m (No. 12) and the conventional cell measures 7.4633, 12.9273 and 8.0280 Å, with angles of 90.00, 108.06 and 90.00 degrees. Symmetry generates all atoms from Pm at (0.2276, 0.0000, 0.1953), Pm at (0.2339, 0.3311, 0.1954), Ge at (0.0000, 0.1666, 0.0000), Se at (0.0000, 0.5000, 0.0000), I at (0.0000, 0.0000, 0.5000) and I at (0.0000, 0.3326, 0.5000).

As for the volume: 30.68 A^3/atom. The calculation puts the energy relative to the elements, uncorrected at -1.15 eV/atom. For the theoretical density, the calculation gives 6.7 g/cm3.

[2]
An optimized crystal structure of ScBCl, computed with PBE.

The space group is Pnma (No. 62) and the conventional cell measures 19.5623, 3.1753 and 3.3566 Å, with angles of 90.00, 90.00 and 90.00 degrees. Symmetry generates all atoms from Sc at (0.0778, 0.2500, 0.0008), B at (0.0092, 0.7500, 0.4992) and Cl at (0.1577, 0.7500, 0.5032).

As for the volume: 17.37 A^3/atom. The calculation puts the energy relative to the elements, uncorrected at -1.13 eV/atom. For the theoretical density, the calculation gives 2.9 g/cm3.